[1]
MgAlSbTe2: relaxed, GGA-PBE.

calculated density = 4316 kg/m³
formation energy from raw total energies = 2.1 eV/f.u.

Cell lengths 5.561, 5.561, 5.328 Å; angles 90.00, 90.00, 90.00 degrees
Space group P4/mmm (No. 123)
Unique sites:
1 Mg 0.000 0.000 0.000 x1
2 Al 0.500 0.500 0.500 x1
3 Sb 0.000 0.000 0.500 x1
4 Te 0.000 0.500 0.000 x2

***

[2]
VFeTe2: relaxed, GGA-PBE.

calculated density = 6447 kg/m³
formation energy from raw total energies = -1.1 eV/f.u.

Cell lengths 8.360, 6.233, 7.931 Å; angles 90.00, 115.51, 90.00 degrees
Space group P2_1/c (No. 14)
Unique sites:
1 V 0.018 0.030 0.309 x4
2 Fe 0.102 0.640 0.559 x4
3 Te 0.216 0.236 0.643 x4
4 Te 0.298 0.750 0.400 x4

***

[3]
K3Si: relaxed, GGA-PBE.

calculated density = 1159 kg/m³
formation energy from raw total energies = 1.7 eV/f.u.

Cell lengths 4.2860, 4.2860, 39.2858 Å; angles 90.00, 90.00, 120.00 degrees
Space group R-3m (No. 166, hexagonal axes)
Unique sites:
1 K 0.0000 0.0000 0.0000 x3
2 K 0.0000 0.0000 0.2251 x6
3 Si 0.0000 0.0000 0.5000 x3

***

[4]
CaNb3As: relaxed, GGA-PBE.

calculated density = 5996 kg/m³
DFT formation energy = 212.53 kJ/mol of atoms

Cell lengths 4.777, 4.777, 4.777 Å; angles 90.00, 90.00, 90.00 degrees
Space group Pm-3m (No. 221)
Unique sites:
1 Ca 0.000 0.000 0.000 x1
2 Nb 0.000 0.000 0.500 x3
3 As 0.500 0.500 0.500 x1

***

[5]
Sr2SnSb: relaxed, GGA-PBE.

calculated density = 5248 kg/m³
formation energy from raw total energies = -2.8 eV/f.u.

Cell lengths 5.371, 5.371, 4.560 Å; angles 90.00, 90.00, 90.00 degrees
Space group P4/mmm (No. 123)
Unique sites:
1 Sr 0.000 0.500 0.000 x2
2 Sn 0.000 0.000 0.500 x1
3 Sb 0.500 0.500 0.500 x1

***

[6]
MnV2Fe8: relaxed, GGA-PBE.

calculated density = 7548 kg/m³
DFT formation energy = 11.82 kJ/mol of atoms

Cell lengths 3.898, 5.927, 11.497 Å; angles 90.00, 90.00, 90.00 degrees
Space group Immm (No. 71)
Unique sites:
1 Mn 0.000 0.000 0.000 x2
2 V 0.000 0.000 0.320 x4
3 Fe 0.000 0.217 0.500 x4
4 Fe 0.000 0.269 0.159 x8
5 Fe 0.000 0.500 0.344 x4

***

Q: Which formula does entry 5 have?
A: Sr2SnSb

***

Q: What is the calculated density in the fifth record?
A: 5248 kg/m³

***

Q: Which value of calculated density does entry 3 give?
A: 1159 kg/m³

***

Q: calculated density of number 2 (VFeTe2)?
A: 6447 kg/m³